K2HgAuO4: relaxed, GGA-PBE.

Unit cell a=6.721 b=5.804 c=5.804 alpha=70.41 beta=54.62 gamma=54.62
Sites, in units of the cell vectors:
K 0.500 0.500 0.500
O 0.419 0.712 0.000
O 0.581 0.000 0.288
K 0.000 0.500 0.500
Au 0.500 0.000 0.000
Hg 0.000 0.000 0.000
O 0.131 0.288 0.000
O 0.869 0.000 0.712

Volume = 18.81 Å³/atom
Energy relative to the elements, uncorrected = -405 meV per atom
Space-group type = I-42m, No. 121
Total DFT energy (no corrections) = -0.13251 hartree per atom

K6Hg2AuO: relaxed, GGA-PBE.

Unit cell a=8.317 b=8.317 c=8.339 alpha=120.02 beta=120.02 gamma=90.04
Sites, in units of the cell vectors:
K 0.776 0.224 0.000
O 0.000 0.000 0.000
K 0.224 0.777 0.000
Hg 0.249 0.752 0.500
K 0.224 0.224 0.447
Hg 0.751 0.249 0.500
K 0.776 0.776 0.552
K 0.224 0.224 0.000
K 0.776 0.777 0.000
Au 0.500 0.500 0.999

Volume = 40.76 Å³/atom
Energy relative to the elements, uncorrected = -423 meV per atom
Space-group type = Cm, No. 8
Total DFT energy (no corrections) = -0.07223 hartree per atom

K2HgPAu: relaxed, GGA-PBE.

Unit cell a=6.343 b=6.343 c=4.598 alpha=90.00 beta=90.00 gamma=90.00
Sites, in units of the cell vectors:
K 0.000 0.500 0.000
Hg 0.500 0.500 0.500
K 0.500 0.000 0.000
P 0.000 0.000 0.000
Au 0.000 0.000 0.500

Volume = 37.00 Å³/atom
Space-group type = P4/mmm, No. 123
Offset from the most stable computed form = 0 meV per atom
ΔH_f (0 K) = -1.28 eV/f.u.
Total DFT energy (no corrections) = -0.09160 hartree per atom

K2Hg6PbAu: relaxed, GGA-PBE.

Unit cell a=8.244 b=8.165 c=9.914 alpha=90.00 beta=90.00 gamma=90.00
Sites, in units of the cell vectors:
K 0.000 0.239 0.282
Hg 0.824 0.514 0.000
Hg 0.314 0.111 0.000
Hg 0.686 0.111 0.000
Pb 0.000 0.929 0.000
Hg 0.324 0.486 0.500
Hg 0.000 0.707 0.759
Hg 0.500 0.293 0.741
K 0.500 0.761 0.782
K 0.500 0.761 0.218
Pb 0.500 0.071 0.500
Hg 0.500 0.293 0.259
Hg 0.814 0.889 0.500
Hg 0.186 0.889 0.500
Hg 0.000 0.707 0.241
Au 0.000 0.568 0.500
Hg 0.176 0.514 0.000
K 0.000 0.239 0.718
Hg 0.676 0.486 0.500
Au 0.500 0.432 0.000

Volume = 33.36 Å³/atom
Space-group type = Pmmn, No. 59
ΔH_f (0 K) = -1.27 eV/f.u.
Total DFT energy (no corrections) = -0.04508 hartree per atom

KHgPb3Au: relaxed, GGA-PBE.

Unit cell a=7.636 b=7.487 c=8.972 alpha=114.66 beta=90.00 gamma=90.00
Sites, in units of the cell vectors:
Pb 0.750 0.782 0.564
K 0.250 0.796 0.591
Au 0.750 0.949 0.898
Pb 0.500 0.737 0.000
Pb 0.250 0.218 0.436
Pb 0.000 0.737 0.000
Pb 0.500 0.263 0.000
Hg 0.750 0.607 0.213
Au 0.250 0.051 0.102
Pb 0.000 0.263 0.000
K 0.750 0.204 0.409
Hg 0.250 0.393 0.787

Volume = 38.84 Å³/atom
Space-group type = Cmcm, No. 63
ΔH_f (0 K) = 0.35 eV/f.u.
Total DFT energy (no corrections) = -0.09463 hartree per atom

KHgPbAu: relaxed, GGA-PBE.

Unit cell a=5.090 b=5.085 c=6.385 alpha=113.47 beta=90.00 gamma=120.03
Sites, in units of the cell vectors:
Pb 0.101 0.201 0.944
K 0.619 0.237 0.498
Hg 0.835 0.669 0.146
Au 0.413 0.825 0.880

Volume = 31.76 Å³/atom
Space-group type = R3m, No. 160
Offset from the most stable computed form = 0 meV per atom
ΔH_f (0 K) = -0.63 eV/f.u.
Total DFT energy (no corrections) = -0.08282 hartree per atom

K2Hg4PbAu3: relaxed, GGA-PBE.

Unit cell a=4.590 b=4.590 c=13.382 alpha=90.00 beta=90.00 gamma=90.00
Sites, in units of the cell vectors:
Au 0.500 0.000 0.862
Hg 0.500 0.500 0.000
Pb 0.500 0.500 0.500
Au 0.000 0.500 0.138
K 0.500 0.000 0.232
Au 0.000 0.000 0.500
Hg 0.500 0.000 0.655
Hg 0.000 0.500 0.345
K 0.000 0.500 0.768
Hg 0.000 0.000 0.000

Volume = 28.19 Å³/atom
Space-group type = P-4m2, No. 115
ΔH_f (0 K) = -1.80 eV/f.u.
Total DFT energy (no corrections) = -0.06888 hartree per atom

K2HgPb4Au3: relaxed, GGA-PBE.

Unit cell a=5.204 b=5.204 c=11.331 alpha=90.00 beta=90.00 gamma=90.00
Sites, in units of the cell vectors:
K 0.500 0.000 0.259
K 0.000 0.500 0.741
Au 0.000 0.000 0.500
Au 0.500 0.000 0.878
Pb 0.500 0.500 0.000
Pb 0.000 0.500 0.372
Pb 0.500 0.000 0.628
Pb 0.000 0.000 0.000
Au 0.000 0.500 0.122
Hg 0.500 0.500 0.500

Volume = 30.69 Å³/atom
Space-group type = P-4m2, No. 115
ΔH_f (0 K) = -1.68 eV/f.u.
Total DFT energy (no corrections) = -0.10598 hartree per atom

KHgPbAu: relaxed, GGA-PBE.

Unit cell a=5.380 b=5.380 c=5.380 alpha=60.00 beta=60.00 gamma=60.00
Sites, in units of the cell vectors:
Hg 0.500 0.500 0.500
Au 0.000 0.000 0.000
Pb 0.250 0.250 0.250
K 0.750 0.750 0.750

Volume = 27.54 Å³/atom
Space-group type = F-43m, No. 216
Offset from the most stable computed form = 49 meV per atom
ΔH_f (0 K) = -0.44 eV/f.u.
Total DFT energy (no corrections) = -0.08103 hartree per atom

KHg4PbAu2: relaxed, GGA-PBE.

Unit cell a=4.223 b=4.223 c=12.802 alpha=90.00 beta=90.00 gamma=90.00
Sites, in units of the cell vectors:
K 0.000 0.000 0.000
Pb 0.000 0.000 0.500
Hg 0.500 0.000 0.226
Hg 0.500 0.000 0.774
Au 0.500 0.500 0.607
Au 0.500 0.500 0.393
Hg 0.000 0.500 0.226
Hg 0.000 0.500 0.774

Volume = 28.53 Å³/atom
Space-group type = P4/mmm, No. 123
ΔH_f (0 K) = -0.34 eV/f.u.
Total DFT energy (no corrections) = -0.05927 hartree per atom